# 1
Entry from Alexandria via LeMat-Bulk: crystalline Dy2YScS4 at its relaxed geometry (PBE).

```
Dy2YScS4
1.0
-2.825 -0.023 2.590
-2.042 -5.961 -2.280
4.491 -0.937 4.890
Dy Sc S Y
2 1 4 1
direct
0.000 0.500 0.500
0.500 0.000 0.500
0.000 0.000 0.000
0.500 0.761 0.760
0.000 0.244 0.755
0.000 0.756 0.245
0.500 0.239 0.240
0.500 0.500 0.000
```

Calculated values
- SG = P2/m, No. 10
- energy relative to the elements, uncorrected (eV/atom) = -1.95
- magnetization (μB per formula unit) = 0.00

=====

# 2
Entry from Alexandria via LeMat-Bulk: crystalline DyY3Sc2S6 at its relaxed geometry (PBE).

```
DyY3Sc2S6
1.0
6.658 -0.010 -0.001
-3.336 5.762 -0.001
-1.109 -1.919 6.287
S Y Sc Dy
6 3 2 1
direct
0.422 0.080 0.239
0.080 0.422 0.239
0.736 0.736 0.236
0.264 0.264 0.764
0.920 0.578 0.761
0.578 0.920 0.761
0.500 0.500 0.500
0.163 0.837 0.500
0.837 0.163 0.500
0.334 0.666 0.000
0.666 0.334 0.000
0.000 0.000 0.000
```

Calculated values
- SG = C2/m, No. 12
- energy relative to the elements, uncorrected (eV/atom) = -1.94
- magnetization (μB per formula unit) = 0.00

=====

# 3
Entry from Alexandria via LeMat-Bulk: crystalline Dy2YSc3S6 at its relaxed geometry (PBE).

```
Dy2YSc3S6
1.0
6.584 -0.012 0.001
-3.301 5.697 0.001
-1.095 -1.896 6.220
S Y Sc Dy
6 1 3 2
direct
0.911 0.577 0.734
0.245 0.245 0.734
0.755 0.755 0.266
0.089 0.423 0.266
0.577 0.911 0.734
0.423 0.089 0.266
0.000 0.000 0.000
0.500 0.500 0.500
0.834 0.166 0.500
0.166 0.834 0.500
0.333 0.667 0.000
0.667 0.333 0.000
```

Calculated values
- SG = C2/m, No. 12
- energy relative to the elements, uncorrected (eV/atom) = -1.93
- magnetization (μB per formula unit) = 0.00

=====

# 4
Entry from Alexandria via LeMat-Bulk: crystalline DyYSc2S6 at its relaxed geometry (PBE).

```
DyYSc2S6
1.0
-3.259 4.120 -4.168
-5.679 -2.013 -2.944
-6.123 2.859 2.220
S Sc Y Dy
6 2 1 1
direct
0.235 0.889 0.244
0.390 0.736 0.744
0.736 0.131 0.744
0.889 0.631 0.244
0.631 0.235 0.244
0.131 0.390 0.744
0.512 0.512 0.463
0.012 0.012 0.963
0.313 0.313 0.062
0.812 0.812 0.562
```

Calculated values
- SG = R3, No. 146
- energy relative to the elements, uncorrected (eV/atom) = -1.96
- magnetization (μB per formula unit) = 0.00

=====

# 5
Entry from Alexandria via LeMat-Bulk: crystalline Dy2YScS6 at its relaxed geometry (PBE).

```
Dy2YScS6
1.0
-3.483 4.974 3.083
-6.584 0.953 -1.454
-4.897 -1.868 5.003
Y S Sc Dy
1 6 1 2
direct
0.816 0.816 0.552
0.419 0.706 0.759
0.214 0.938 0.251
0.597 0.214 0.251
0.706 0.116 0.759
0.116 0.419 0.759
0.938 0.597 0.251
0.320 0.320 0.040
0.519 0.519 0.442
0.016 0.016 0.951
```

Calculated values
- SG = R3, No. 146
- energy relative to the elements, uncorrected (eV/atom) = -2.01
- magnetization (μB per formula unit) = 0.00

=====

# 6
Entry from Alexandria via LeMat-Bulk: crystalline Dy4YScS8 at its relaxed geometry (PBE).

```
Dy4YScS8
1.0
-6.878 -3.568 1.900
-0.097 -5.836 5.439
-3.308 1.265 7.149
Dy Sc S Y
4 1 8 1
direct
0.625 0.625 0.125
0.003 0.490 0.503
0.003 0.003 0.503
0.490 0.003 0.503
0.375 0.375 0.875
0.248 0.248 0.747
0.759 0.759 0.724
0.247 0.247 0.258
0.248 0.757 0.747
0.757 0.248 0.747
0.224 0.758 0.259
0.758 0.224 0.259
0.758 0.758 0.259
0.003 0.003 0.990
```

Calculated values
- SG = R3m, No. 160
- energy relative to the elements, uncorrected (eV/atom) = -1.92
- magnetization (μB per formula unit) = 0.78

=====

# 7
Entry from Alexandria via LeMat-Bulk: crystalline Dy3Y2ScS6 at its relaxed geometry (PBE).

```
Dy3Y2ScS6
1.0
3.871 0.000 0.000
0.000 7.778 0.275
-1.935 -2.244 8.135
Dy S Y Sc
3 6 2 1
direct
0.500 0.500 0.000
0.168 0.835 0.337
0.832 0.165 0.663
0.662 0.080 0.324
0.338 0.920 0.676
0.666 0.584 0.333
0.001 0.761 0.003
0.999 0.239 0.997
0.334 0.416 0.667
0.834 0.668 0.668
0.166 0.332 0.332
0.500 0.000 0.000
```

Calculated values
- SG = C2/m, No. 12
- energy relative to the elements, uncorrected (eV/atom) = -1.96
- magnetization (μB per formula unit) = 0.00

=====

# 8
Entry from Alexandria via LeMat-Bulk: crystalline Dy2ZrScS4 at its relaxed geometry (PBE).

```
Dy2ZrScS4
1.0
-1.965 -3.090 -1.037
5.623 -2.982 -1.767
-1.298 -1.289 6.300
S Dy Sc Zr
4 2 1 1
direct
0.000 0.251 0.762
0.500 0.758 0.765
0.500 0.242 0.235
0.000 0.749 0.238
0.500 0.000 0.500
0.000 0.500 0.500
0.000 0.000 0.000
0.500 0.500 0.000
```

Calculated values
- SG = P2/m, No. 10
- energy relative to the elements, uncorrected (eV/atom) = -1.80
- magnetization (μB per formula unit) = 0.00

=====

# 9
Entry from Alexandria via LeMat-Bulk: crystalline DyZrSc2S4 at its relaxed geometry (PBE).

```
DyZrSc2S4
1.0
3.739 0.000 0.000
0.000 6.526 -0.139
0.000 2.287 6.056
S Sc Zr Dy
4 2 1 1
direct
0.500 0.240 0.749
0.500 0.760 0.251
0.000 0.764 0.740
0.000 0.236 0.260
0.000 0.000 0.000
0.500 0.000 0.500
0.000 0.500 0.500
0.500 0.500 0.000
```

Calculated values
- SG = P2/m, No. 10
- energy relative to the elements, uncorrected (eV/atom) = -1.76
- magnetization (μB per formula unit) = 0.00

=====

# 10
Entry from Alexandria via LeMat-Bulk: crystalline Dy4Se3S2 at its relaxed geometry (PBE).

```
Dy4Se3S2
1.0
3.785 0.000 0.000
-1.893 4.972 -0.544
0.000 -0.350 11.955
S Dy Se
2 4 3
direct
0.303 0.605 0.220
0.697 0.395 0.780
0.885 0.769 0.380
0.416 0.832 0.831
0.115 0.231 0.620
0.584 0.168 0.169
0.390 0.780 0.585
0.610 0.220 0.415
0.000 0.000 0.000
```

Calculated values
- SG = C2/m, No. 12
- ΔE to the lowest computed polymorph (meV per atom) = 70
- energy relative to the elements, uncorrected (eV/atom) = -1.80
- magnetization (μB per formula unit) = 1.14

=====

# 11
Entry from Alexandria via LeMat-Bulk: crystalline Dy6Se2S3 at its relaxed geometry (PBE).

```
Dy6Se2S3
1.0
3.890 0.000 0.386
1.926 3.379 0.386
0.012 0.007 19.691
Dy Se S
6 2 3
direct
0.190 0.190 0.429
0.919 0.919 0.243
0.081 0.081 0.757
0.361 0.361 0.918
0.639 0.639 0.082
0.810 0.810 0.571
0.445 0.445 0.666
0.555 0.555 0.334
0.000 0.000 0.000
0.279 0.279 0.163
0.721 0.721 0.837
```

Calculated values
- SG = R-3m, No. 166
- energy relative to the elements, uncorrected (eV/atom) = -1.72
- magnetization (μB per formula unit) = 0.72

=====

# 12
Entry from Alexandria via LeMat-Bulk: crystalline Dy4Se3S at its relaxed geometry (PBE).

```
Dy4Se3S
1.0
-1.047 3.583 -1.443
-6.457 -0.829 2.625
4.055 3.120 4.805
Se Dy S
3 4 1
direct
0.500 0.500 0.500
0.000 0.500 0.000
0.000 0.000 0.500
0.500 0.237 0.763
0.000 0.771 0.771
0.500 0.763 0.237
0.000 0.229 0.229
0.500 0.000 0.000
```

Calculated values
- SG = Cmmm, No. 65
- ΔE to the lowest computed polymorph (meV per atom) = 0
- energy relative to the elements, uncorrected (eV/atom) = -1.81
- magnetization (μB per formula unit) = 0.00

=====

# 13
Entry from Alexandria via LeMat-Bulk: crystalline Dy4Se3S at its relaxed geometry (PBE).

```
Dy4Se3S
1.0
-0.880 -5.564 0.925
4.549 -1.253 -3.212
3.333 0.242 4.627
Se Dy S
3 4 1
direct
0.000 0.500 0.500
0.500 0.500 0.000
0.500 0.000 0.500
0.500 0.000 0.000
0.500 0.500 0.500
0.000 0.500 0.000
0.000 0.000 0.500
0.000 0.000 0.000
```

Calculated values
- SG = Pm-3m, No. 221
- ΔE to the lowest computed polymorph (meV per atom) = 34
- energy relative to the elements, uncorrected (eV/atom) = -1.78
- magnetization (μB per formula unit) = 0.00

=====

# 14
Entry from Alexandria via LeMat-Bulk: crystalline Dy8Se6S at its relaxed geometry (PBE).

```
Dy8Se6S
1.0
4.114 0.000 0.000
0.000 8.938 -5.160
0.000 0.000 10.321
Se Dy S
6 8 1
direct
0.243 0.352 0.871
0.757 0.480 0.352
0.757 0.871 0.520
0.243 0.129 0.480
0.243 0.520 0.648
0.757 0.648 0.129
0.256 0.667 0.333
0.263 0.687 0.968
0.744 0.333 0.667
0.263 0.032 0.720
0.737 0.720 0.687
0.737 0.968 0.280
0.263 0.280 0.313
0.737 0.313 0.032
0.500 0.000 0.000
```

Calculated values
- SG = P-3, No. 147
- energy relative to the elements, uncorrected (eV/atom) = -1.31
- magnetization (μB per formula unit) = 0.00

=====

# 15
Entry from Alexandria via LeMat-Bulk: crystalline Dy8SeS6 at its relaxed geometry (PBE).

```
Dy8SeS6
1.0
3.978 0.000 0.000
0.000 8.731 -5.041
0.000 0.000 10.081
Dy S Se
8 6 1
direct
0.747 0.333 0.667
0.258 0.300 0.336
0.742 0.700 0.664
0.742 0.336 0.036
0.742 0.964 0.300
0.253 0.667 0.333
0.258 0.664 0.964
0.258 0.036 0.700
0.246 0.134 0.482
0.246 0.518 0.652
0.246 0.348 0.866
0.754 0.866 0.518
0.754 0.652 0.134
0.754 0.482 0.348
0.500 0.000 0.000
```

Calculated values
- SG = P-3, No. 147
- energy relative to the elements, uncorrected (eV/atom) = -1.57
- magnetization (μB per formula unit) = 0.00

=====

# 16
Entry from Alexandria via LeMat-Bulk: crystalline DySeS at its relaxed geometry (PBE).

```
DySeS
1.0
-3.072 2.617 0.143
-2.832 -3.491 3.051
5.495 3.123 3.838
Se S Dy
2 2 2
direct
0.500 0.722 0.000
0.500 0.278 0.000
0.212 0.212 0.423
0.788 0.788 0.577
0.845 0.345 0.690
0.155 0.655 0.310
```

Calculated values
- SG = Immm, No. 71
- ΔE to the lowest computed polymorph (meV per atom) = 0
- energy relative to the elements, uncorrected (eV/atom) = -1.67
- magnetization (μB per formula unit) = 0.00

=====

# 17
Entry from Alexandria via LeMat-Bulk: crystalline Dy2SeS at its relaxed geometry (PBE).

```
Dy2SeS
1.0
4.202 -0.002 -0.001
-0.003 6.384 0.002
0.004 -0.001 8.807
Dy Se S
4 2 2
direct
0.701 0.535 0.696
0.200 0.173 0.960
0.201 0.035 0.519
0.701 0.673 0.256
0.201 0.811 0.788
0.702 0.310 0.428
0.201 0.915 0.208
0.700 0.415 0.008
```

Calculated values
- SG = Pc, No. 7
- ΔE to the lowest computed polymorph (meV per atom) = 413
- energy relative to the elements, uncorrected (eV/atom) = -1.48
- magnetization (μB per formula unit) = 0.00

=====

# 18
Entry from Alexandria via LeMat-Bulk: crystalline DySeS at its relaxed geometry (PBE).

```
DySeS
1.0
5.750 0.000 0.000
0.000 4.114 0.000
0.000 -2.057 3.562
Se Dy S
1 1 1
direct
0.261 0.667 0.333
0.982 0.000 0.000
0.757 0.333 0.667
```

Calculated values
- SG = P3m1, No. 156
- ΔE to the lowest computed polymorph (meV per atom) = 364
- energy relative to the elements, uncorrected (eV/atom) = -1.31
- magnetization (μB per formula unit) = 0.00

=====

# 19
Entry from Alexandria via LeMat-Bulk: crystalline DySeS at its relaxed geometry (PBE).

```
DySeS
1.0
3.961 0.000 0.000
0.000 3.961 0.000
-1.980 -1.980 8.203
Se S Dy
2 2 2
direct
0.000 0.500 0.000
0.500 0.000 0.000
0.815 0.815 0.630
0.185 0.185 0.370
0.646 0.646 0.292
0.354 0.354 0.708
```

Calculated values
- SG = I4/mmm, No. 139
- ΔE to the lowest computed polymorph (meV per atom) = 51
- energy relative to the elements, uncorrected (eV/atom) = -1.62
- magnetization (μB per formula unit) = 0.00

=====

# 20
Entry from Alexandria via LeMat-Bulk: crystalline Dy3Se3S at its relaxed geometry (PBE).

```
Dy3Se3S
1.0
7.335 -0.736 -0.504
0.563 7.445 -4.103
0.355 -0.920 7.224
S Dy Se
2 6 6
direct
0.096 0.765 0.000
0.904 0.235 0.000
0.701 0.522 0.302
0.215 0.062 0.000
0.299 0.781 0.302
0.701 0.219 0.698
0.785 0.938 0.000
0.299 0.478 0.698
0.500 0.838 0.676
0.000 0.231 0.462
0.000 0.769 0.538
0.500 0.162 0.324
0.633 0.638 0.000
0.367 0.362 0.000
```

Calculated values
- SG = C2/m, No. 12
- ΔE to the lowest computed polymorph (meV per atom) = 45
- energy relative to the elements, uncorrected (eV/atom) = -1.67
- magnetization (μB per formula unit) = 0.00